[1]
Material: CdAg3Ge
Method: DFT, PBE
State: relaxed Values from VASP.

Symmetry: No. 221
M_tot (μB/atom): 0.000
Calculated formation energy (eV/atom): 0.384
Calculated volume (Å³ per cell): 119.97
Polymorph energy (0 for the lowest one) (meV per atom): 0

```
&SYSTEM
  ibrav = 0, nat = 5, ntyp = 3
/
ATOMIC_SPECIES
Cd 112.41 Cd.upf
Ag 107.87 Ag.upf
Ge 72.64 Ge.upf
CELL_PARAMETERS angstrom
4.932 0.000 0.000
0.000 4.932 0.000
0.000 0.000 4.932
ATOMIC_POSITIONS angstrom
Cd 0.000 0.000 0.000
Ag 0.000 2.466 2.466
Ag 2.466 0.000 2.466
Ag 2.466 2.466 0.000
Ge 2.466 2.466 2.466
```

[2]
Material: LaSi2Pd5Au
Method: DFT, PBE
State: relaxed Values from VASP.

Symmetry: No. 123
Formation energy from raw total energies (meV per atom): -536
M_tot (μB/atom): 0.000
Calculated volume (Å³ per cell): 160.62

```
&SYSTEM
  ibrav = 0, nat = 9, ntyp = 4
/
ATOMIC_SPECIES
La 138.91 La.upf
Si 28.09 Si.upf
Pd 106.42 Pd.upf
Au 196.97 Au.upf
CELL_PARAMETERS angstrom
4.745 0.000 0.000
0.000 4.745 0.000
0.000 0.000 7.134
ATOMIC_POSITIONS angstrom
La 0.000 0.000 0.000
Si 2.373 2.373 2.436
Si 2.373 2.373 4.698
Pd 0.000 2.373 1.924
Pd 0.000 2.373 5.210
Pd 2.373 0.000 1.924
Pd 2.373 0.000 5.210
Pd 2.373 2.373 0.000
Au 0.000 0.000 3.567
```

[3]
Material: TbDySnHg
Method: DFT, PBE
State: relaxed Values from VASP.

Symmetry: No. 216
M_tot (μB/atom): 0.000
Calculated formation energy (eV/atom): -0.568
Calculated volume (Å³ per cell): 104.84
Polymorph energy (0 for the lowest one) (meV per atom): 0

```
&SYSTEM
  ibrav = 0, nat = 4, ntyp = 4
/
ATOMIC_SPECIES
Tb 158.93 Tb.upf
Dy 162.50 Dy.upf
Sn 118.71 Sn.upf
Hg 200.59 Hg.upf
CELL_PARAMETERS angstrom
0.000 3.743 3.743
3.743 0.000 3.743
3.743 3.743 0.000
ATOMIC_POSITIONS angstrom
Tb 0.000 0.000 0.000
Dy 3.743 3.743 3.743
Sn 1.871 1.871 1.871
Hg 5.614 5.614 5.614
```

[4]
Material: La2Tm2Cd15
Method: DFT, PBE
State: relaxed Values from VASP.

Symmetry: No. 166
M_tot (μB/atom): 0.000
Calculated formation energy (eV/atom): -0.176
Calculated volume (Å³ per cell): 469.70

```
&SYSTEM
  ibrav = 0, nat = 19, ntyp = 3
/
ATOMIC_SPECIES
La 138.91 La.upf
Tm 168.93 Tm.upf
Cd 112.41 Cd.upf
CELL_PARAMETERS angstrom
5.062 2.922 5.292
-5.062 2.922 5.292
0.000 -5.845 5.292
ATOMIC_POSITIONS angstrom
La 0.000 0.000 2.712
La 0.000 0.000 13.165
Tm 0.000 0.000 6.362
Tm 0.000 0.000 9.515
Cd -2.531 -1.461 5.292
Cd 0.000 -3.031 4.837
Cd -2.625 1.515 4.837
Cd -1.473 -2.551 7.939
Cd -2.946 0.000 7.939
Cd -2.625 -1.515 11.040
Cd -2.531 1.461 10.585
Cd 1.473 -2.551 7.939
Cd 0.000 2.922 5.292
Cd -1.473 2.551 7.939
Cd 2.625 1.515 4.837
Cd 2.946 0.000 7.939
Cd 1.473 2.551 7.939
Cd 2.625 -1.515 11.040
Cd 0.000 3.031 11.040
```

[5]
Material: ZrCd3Pd
Method: DFT, PBE
State: relaxed Values from VASP.

Symmetry: No. 221
M_tot (μB/atom): 0.000
Calculated formation energy (eV/atom): 1.152
Calculated volume (Å³ per cell): 169.28
Polymorph energy (0 for the lowest one) (meV per atom): 760

```
&SYSTEM
  ibrav = 0, nat = 5, ntyp = 3
/
ATOMIC_SPECIES
Zr 91.22 Zr.upf
Cd 112.41 Cd.upf
Pd 106.42 Pd.upf
CELL_PARAMETERS angstrom
5.532 0.000 0.000
0.000 5.532 0.000
0.000 0.000 5.532
ATOMIC_POSITIONS angstrom
Zr 0.000 0.000 0.000
Cd 0.000 0.000 2.766
Cd 0.000 2.766 0.000
Cd 2.766 0.000 0.000
Pd 2.766 2.766 2.766
```

[6]
Material: Mg2CoSe
Method: DFT, PBE
State: relaxed Values from VASP.

Symmetry: No. 216
Formation energy from raw total energies (meV per atom): 122
M_tot (μB/atom): 0.000
Calculated volume (Å³ per cell): 66.52
Polymorph energy (0 for the lowest one) (meV per atom): 419

```
&SYSTEM
  ibrav = 0, nat = 4, ntyp = 3
/
ATOMIC_SPECIES
Mg 24.30 Mg.upf
Co 58.93 Co.upf
Se 78.96 Se.upf
CELL_PARAMETERS angstrom
0.000 3.216 3.216
3.216 0.000 3.216
3.216 3.216 0.000
ATOMIC_POSITIONS angstrom
Mg 0.000 0.000 0.000
Mg 1.608 1.608 1.608
Co 4.824 4.824 4.824
Se 3.216 3.216 3.216
```